(1)
The following is a PBEsol calculation of crystalline TcMo2 at its relaxed geometry, from the Alexandria database.

Summary:
Total moment (μB per atom): 0.000
Total energy (hartree per atom): -0.424
ΔH_f (0 K) (eV/atom): 0.071
Energy above the most stable polymorph in this dataset (kcal/mol of atoms): 0.099

Structure (POSCAR):
```
TcMo2
1.0
-2.9540 -0.2700 0.9212
2.6663 -3.7823 2.2051
0.6339 5.0848 3.5231
Mo Tc
4 2
Cartesian
1.3339 -2.5984 3.5159 Mo
0.7697 1.6515 2.9523 Mo
-0.9877 3.6309 3.1334 Mo
-0.4235 -0.6190 3.6971 Mo
-0.0945 1.8586 5.4784 Tc
0.4407 -0.8261 1.1710 Tc
```

(2)
The following is a PBEsol calculation of crystalline TcMo2 at its relaxed geometry, from the Alexandria database.

Summary:
Total moment (μB per atom): 0.000
Total energy (hartree per atom): -0.423
ΔH_f (0 K) (eV/atom): 0.080
Energy above the most stable polymorph in this dataset (kcal/mol of atoms): 0.304

Structure (POSCAR):
```
TcMo2
1.0
2.7089 0.0000 0.0000
0.0000 4.3627 0.0000
0.0000 -2.1813 3.7782
Tc Mo
1 2
Cartesian
0.0000 0.0000 0.0000 Tc
1.7903 2.1813 1.2594 Mo
0.9185 0.0000 2.5188 Mo
```

(3)
The following is a PBEsol calculation of crystalline TcMo2 at its relaxed geometry, from the Alexandria database.

Summary:
Total moment (μB per atom): 0.000
Total energy (hartree per atom): -0.424
ΔH_f (0 K) (eV/atom): 0.066
Energy above the most stable polymorph in this dataset (kcal/mol of atoms): 0.000

Structure (POSCAR):
```
TcMo2
1.0
3.1001 0.0000 0.0000
0.0000 4.3904 0.0000
-1.5501 0.0000 6.5654
Mo Tc
4 2
Cartesian
0.0000 1.0976 5.4568 Mo
1.5501 1.0976 3.3118 Mo
0.0000 3.2928 3.2536 Mo
1.5501 3.2928 1.1086 Mo
0.0000 1.0976 1.0645 Tc
1.5501 3.2928 5.5009 Tc
```

(4)
The following is a PBEsol calculation of crystalline Tc3Mo at its relaxed geometry, from the Alexandria database.

Summary:
Total moment (μB per atom): 0.000
Total energy (hartree per atom): -0.413
ΔH_f (0 K) (eV/atom): 0.147
Energy above the most stable polymorph in this dataset (kcal/mol of atoms): 1.579

Structure (POSCAR):
```
Tc3Mo
1.0
-2.4989 0.7017 -0.8243
-2.0358 -1.8036 0.1375
-3.4473 2.4475 8.0353
Tc Mo
3 1
Cartesian
-5.9739 0.9910 5.4578 Tc
-3.9910 0.6728 3.6742 Tc
-2.0080 0.3546 1.8907 Tc
0.0000 0.0000 0.0000 Mo
```

(5)
The following is a PBEsol calculation of crystalline TcMo2 at its relaxed geometry, from the Alexandria database.

Summary:
Total moment (μB per atom): 0.000
Total energy (hartree per atom): -0.392
ΔH_f (0 K) (eV/atom): 0.936
Energy above the most stable polymorph in this dataset (kcal/mol of atoms): 20.051

Structure (POSCAR):
```
TcMo2
1.0
-2.0570 -0.3021 -2.2184
-2.5992 -1.8150 2.6572
-1.5883 3.6942 0.9697
Mo Tc
2 1
Cartesian
-1.8227 1.6961 -0.6244 Mo
-2.3281 -1.0585 0.2194 Mo
0.0000 0.0000 0.0000 Tc
```

(6)
The following is a PBEsol calculation of crystalline TcMo2 at its relaxed geometry, from the Alexandria database.

Summary:
Total moment (μB per atom): 0.000
Total energy (hartree per atom): -0.424
ΔH_f (0 K) (eV/atom): 0.076
Energy above the most stable polymorph in this dataset (kcal/mol of atoms): 0.214

Structure (POSCAR):
```
TcMo2
1.0
-1.9599 -2.2916 -0.7391
2.1889 -2.0928 0.6842
-1.6135 2.0589 4.4158
Tc Mo
1 2
Cartesian
0.0000 0.0000 0.0000 Tc
-0.3899 -2.2370 1.4491 Mo
-0.9946 -0.0884 2.9118 Mo
```

(7)
The following is a PBEsol calculation of crystalline Tc3Mo at its relaxed geometry, from the Alexandria database.

Summary:
Total moment (μB per atom): 0.000
Total energy (hartree per atom): -0.415
ΔH_f (0 K) (eV/atom): 0.099
Energy above the most stable polymorph in this dataset (kcal/mol of atoms): 0.463

Structure (POSCAR):
```
Tc3Mo
1.0
-0.3665 1.4594 2.2901
-1.9740 -3.7548 2.0769
5.1517 -0.1393 -0.7261
Mo Tc
1 3
Cartesian
-0.0080 -0.0152 0.0084 Mo
-1.1654 -1.1385 2.1784 Tc
1.5658 -0.5644 2.2496 Tc
0.5905 -3.1160 2.0802 Tc
```

(8)
The following is a PBEsol calculation of crystalline Tc3Mo at its relaxed geometry, from the Alexandria database.

Summary:
Total moment (μB per atom): 0.000
Total energy (hartree per atom): -0.412
ΔH_f (0 K) (eV/atom): 0.185
Energy above the most stable polymorph in this dataset (kcal/mol of atoms): 2.455

Structure (POSCAR):
```
Tc3Mo
1.0
-0.1552 -2.5591 0.7207
4.6924 0.0967 -1.9264
-0.6882 2.2337 4.5029
Tc Mo
3 1
Cartesian
2.0021 1.1652 1.2883 Tc
-0.4217 -0.1627 2.6118 Tc
2.2686 -1.2312 -0.6028 Tc
0.0000 0.0000 0.0000 Mo
```

(9)
The following is a PBEsol calculation of crystalline Tc3Mo at its relaxed geometry, from the Alexandria database.

Summary:
Total moment (μB per atom): 0.000
Total energy (hartree per atom): -0.416
ΔH_f (0 K) (eV/atom): 0.079
Energy above the most stable polymorph in this dataset (kcal/mol of atoms): 0.000

Structure (POSCAR):
```
Tc3Mo
1.0
-1.3624 -0.6320 -4.5223
0.2858 -5.4076 0.6697
-8.4349 -0.1288 2.5592
Tc Mo
12 4
Cartesian
-4.9015 -5.2659 -1.5022 Tc
-9.2895 -2.6394 -0.6493 Tc
-0.2221 -3.5291 -0.6442 Tc
-5.2194 -2.5772 -1.8841 Tc
-0.8315 -5.2038 -2.7371 Tc
-6.3314 -2.1864 1.7970 Tc
-4.6100 -0.9025 0.2088 Tc
-7.0851 -1.1314 -0.6339 Tc
-8.6801 -0.9647 1.4436 Tc
-4.2921 -3.5912 0.5906 Tc
-3.1802 -3.9821 -3.0905 Tc
-2.4265 -5.0371 -0.6595 Tc
-3.3298 -1.2834 -3.4477 Mo
-6.9352 -3.8340 -0.2762 Mo
-6.1818 -4.8850 2.1542 Mo
-2.5763 -2.3344 -1.0173 Mo
```

(10)
The following is a PBEsol calculation of crystalline Tc8Mo at its relaxed geometry, from the Alexandria database.

Summary:
Total moment (μB per atom): 0.000
Total energy (hartree per atom): -0.413
ΔH_f (0 K) (eV/atom): 0.091

Structure (POSCAR):
```
Tc8Mo
1.0
3.8353 0.0000 0.0000
1.9176 5.7694 0.0000
1.9176 0.0000 5.7694
Tc Mo
8 1
Cartesian
3.8353 3.8213 3.8213 Tc
3.8353 1.9481 1.9481 Tc
3.8353 0.0000 3.7982 Tc
1.9176 1.9481 3.8213 Tc
1.9176 1.9712 0.0000 Tc
1.9176 0.0000 1.9712 Tc
1.9176 3.8213 1.9481 Tc
3.8353 3.7982 0.0000 Tc
0.0000 0.0000 0.0000 Mo
```

(11)
The following is a PBEsol calculation of crystalline TcTe4Mo at its relaxed geometry, from the Alexandria database.

Summary:
Total moment (μB per atom): 1.237
Total energy (hartree per atom): -0.164
Formation energy (no corrections) (kJ/mol of atoms): 168

Structure (POSCAR):
```
TcTe4Mo
1.0
6.0489 0.0000 0.0000
3.0245 5.2385 0.0000
3.0245 1.7462 4.9389
Mo Te Tc
1 4 1
Cartesian
9.0734 5.2385 3.7042 Mo
4.5375 2.6197 1.8524 Te
6.0489 5.2377 1.8524 Te
7.5604 2.6197 1.8524 Te
6.0489 3.4924 4.3207 Te
0.0000 0.0000 0.0000 Tc
```

(12)
The following is a PBEsol calculation of crystalline TcTe2Mo at its relaxed geometry, from the Alexandria database.

Summary:
Total moment (μB per atom): 0.000
Total energy (hartree per atom): -0.267
Formation energy (no corrections) (kJ/mol of atoms): 25
Energy above the most stable polymorph in this dataset (kcal/mol of atoms): 0.000

Structure (POSCAR):
```
TcTe2Mo
1.0
-1.3803 -2.1797 2.0154
2.5197 0.3151 2.0665
-3.1357 4.8388 3.0856
Tc Te Mo
1 2 1
Cartesian
-0.9982 1.4871 3.5837 Tc
-2.3542 3.6329 2.3166 Te
-0.7814 1.2059 0.7690 Te
0.5697 -0.9323 2.0409 Mo
```